Record 1
Compound: UPaSe2
Source: Alexandria via LeMat-Bulk
Functional: GGA-PBE
Structure: optimized geometry

Cell: 5.809 10.487 8.150 Å, 90.00 90.00 90.00°
Fractional coordinates of all 16 atoms:
U 0.902 0.000 0.793
U 0.098 0.500 0.207
U 0.598 0.500 0.293
U 0.402 0.000 0.707
Pa 0.067 0.000 0.094
Pa 0.933 0.500 0.906
Pa 0.433 0.500 0.594
Pa 0.567 0.000 0.406
Se 0.560 0.000 0.055
Se 0.440 0.500 0.945
Se 0.940 0.500 0.555
Se 0.060 0.000 0.445
Se 0.000 0.250 0.000
Se 0.000 0.750 0.000
Se 0.500 0.750 0.500
Se 0.500 0.250 0.500

Output
Uncorrected energy ... -30.0 eV/f.u.
Calculated density ... 8.39 Mg/m³
Volume ... 31.0 Å³/atom
Symmetry ... Pnma
Uncorrected formation energy ... -2.22 eV/f.u.
Offset from the most stable computed form ... 554.5 meV/atom

---

Record 2
Compound: U2PaSe3
Source: Alexandria via LeMat-Bulk
Functional: GGA-PBE
Structure: optimized geometry

Cell: 5.757 8.494 11.660 Å, 90.00 90.00 95.34°
Fractional coordinates of all 24 atoms:
U 0.251 0.875 0.749
U 0.251 0.375 0.751
U 0.252 0.875 0.417
U 0.252 0.375 0.083
U 0.748 0.625 0.917
U 0.748 0.125 0.583
U 0.749 0.625 0.249
U 0.749 0.125 0.251
Pa 0.246 0.874 0.083
Pa 0.246 0.374 0.417
Pa 0.754 0.626 0.583
Pa 0.754 0.126 0.917
Se 0.254 0.625 0.584
Se 0.254 0.125 0.916
Se 0.248 0.625 0.916
Se 0.248 0.125 0.584
Se 0.249 0.625 0.250
Se 0.249 0.125 0.250
Se 0.751 0.875 0.750
Se 0.751 0.375 0.750
Se 0.752 0.875 0.416
Se 0.752 0.375 0.084
Se 0.746 0.875 0.084
Se 0.746 0.375 0.416

Output
Uncorrected energy ... -48.9 eV/f.u.
Calculated density ... 11.04 Mg/m³
Volume ... 23.7 Å³/atom
Symmetry ... P2_1/c
Uncorrected formation energy ... -6.41 eV/f.u.

---

Record 3
Compound: U2PaSe4
Source: Alexandria via LeMat-Bulk
Functional: GGA-PBE
Structure: optimized geometry

Cell: 7.440 7.440 7.440 Å, 109.39 109.64 109.39°
Fractional coordinates of all 14 atoms:
U 0.375 0.877 0.752
U 0.502 0.377 0.625
U 0.875 0.123 0.498
U 0.248 0.623 0.125
Pa 0.750 0.500 0.250
Pa 0.000 0.000 0.000
Se 0.779 0.249 0.873
Se 0.971 0.595 0.720
Se 0.624 0.751 0.530
Se 0.126 0.405 0.377
Se 0.470 0.095 0.221
Se 0.623 0.749 0.029
Se 0.280 0.251 0.874
Se 0.127 0.905 0.376

Output
Uncorrected energy ... -54.1 eV/f.u.
Calculated density ... 10.72 Mg/m³
Volume ... 22.6 Å³/atom
Symmetry ... I-42d
Uncorrected formation energy ... -8.06 eV/f.u.
Offset from the most stable computed form ... 0.0 meV/atom